[1]
A relaxed structure of CaMgCr2. Source: Alexandria via LeMat-Bulk, functional PBE.

Summary:
Space group = P2/m (10)
Formation energy = 0.7105 eV per atom

abc: 4.1889 3.2012 7.0968
angles: 63.26 90.00 90.00
Fractional coordinates of all 4 atoms:
Ca 0.5000 0.7500 0.7500
Cr 0.0000 0.8934 0.1063
Cr 0.0000 0.6066 0.3937
Mg 0.5000 0.2500 0.2500

[2]
A relaxed structure of TlGeBr2. Source: Alexandria via LeMat-Bulk, functional PBE.

Summary:
Space group = Fm-3m (225)
Formation energy without anion corrections = -0.15 eV per atom
Energy above the most stable polymorph in this dataset = 52 kJ/mol of formula units

abc: 5.3976 5.3976 5.3976
angles: 60.00 60.00 60.00
Fractional coordinates of all 4 atoms:
Tl 0.5000 0.5000 0.5000
Ge 0.0000 0.0000 0.0000
Br 0.2500 0.2500 0.2500
Br 0.7500 0.7500 0.7500

In eV per cell, the uncorrected energy values for the records above are, in order, -20.0 -10.9.
In μB/atom, the magnetic moment values for the records above are, in order, 0.00 0.00.